{"formula": "Na2Li2La3Pb4", "functional": "PBE", "state": "optimized geometry", "cell": [[-4.866, -0.266, -0.758], [1.947, -1.776, 4.169], [-1.881, 14.417, 7.021]], "species": ["Pb", "Pb", "Pb", "Pb", "Na", "Na", "Li", "Li", "La", "La", "La"], "frac_coords": [[0.333, 0.667, 0.881], [0.667, 0.333, 0.651], [0.667, 0.333, 0.119], [0.333, 0.667, 0.349], [0.333, 0.667, 0.560], [0.667, 0.333, 0.440], [0.667, 0.333, 0.863], [0.333, 0.667, 0.137], [0.000, 0.000, 0.749], [0.000, 0.000, 0.251], [0.000, 0.000, 0.000]], "dos_at_fermi_per_ev_cell": 12.29, "spacegroup": "No. 164", "m_tot_mub_per_cell": 0.02, "ef_kj_per_mol_fu": -375}

---

{"formula": "NaLiLaPb", "functional": "PBE", "state": "optimized geometry", "cell": [[5.443, 0.000, 0.000], [2.721, 4.713, 0.000], [2.721, 1.571, 4.444]], "species": ["Li", "Pb", "Na", "La"], "frac_coords": [[0.000, 0.000, 0.000], [0.500, 0.500, 0.500], [0.250, 0.250, 0.250], [0.750, 0.750, 0.750]], "dos_at_fermi_per_ev_cell": 2.60, "spacegroup": "No. 216", "m_tot_mub_per_cell": 0.00, "ef_kj_per_mol_fu": -94}

---

{"formula": "NaLiLa2Pb", "functional": "PBE", "state": "optimized geometry", "cell": [[6.276, 0.000, 0.000], [0.000, 5.183, 0.000], [0.000, 0.000, 6.276]], "species": ["Na", "La", "La", "Li", "Pb"], "frac_coords": [[0.500, 0.500, 0.500], [0.500, 0.000, 0.000], [0.000, 0.000, 0.500], [0.000, 0.500, 0.000], [0.000, 0.000, 0.000]], "dos_at_fermi_per_ev_cell": 5.60, "spacegroup": "No. 123", "m_tot_mub_per_cell": 1.36, "ef_kj_per_mol_fu": 64}

---

{"formula": "NaLiLa2Pd", "functional": "PBE", "state": "optimized geometry", "cell": [[-4.284, -0.115, -3.704], [-3.393, -2.156, 3.991], [-1.371, 4.816, 1.436]], "species": ["Pd", "Na", "La", "La", "Li"], "frac_coords": [[0.000, 0.000, 0.000], [0.500, 0.500, 0.500], [0.500, 0.000, 0.000], [0.000, 0.500, 0.000], [0.000, 0.000, 0.500]], "dos_at_fermi_per_ev_cell": 3.82, "spacegroup": "No. 123", "m_tot_mub_per_cell": 0.00, "ef_kj_per_mol_fu": -60}

---

{"formula": "NaLiLa2Pt", "functional": "PBE", "state": "optimized geometry", "cell": [[5.660, 0.000, 0.000], [0.000, 5.660, 0.000], [0.000, 0.000, 5.205]], "species": ["Pt", "La", "La", "Li", "Na"], "frac_coords": [[0.000, 0.000, 0.000], [0.500, 0.000, 0.000], [0.000, 0.500, 0.000], [0.000, 0.000, 0.500], [0.500, 0.500, 0.500]], "dos_at_fermi_per_ev_cell": 3.54, "spacegroup": "No. 123", "m_tot_mub_per_cell": 0.00, "ef_kj_per_mol_fu": -158}

---

{"formula": "NaLi2LaRh", "functional": "PBE", "state": "optimized geometry", "cell": [[5.271, 0.000, 0.000], [0.000, 5.271, 0.000], [0.000, 0.000, 5.130]], "species": ["La", "Li", "Li", "Rh", "Na"], "frac_coords": [[0.000, 0.000, 0.500], [0.500, 0.000, 0.000], [0.000, 0.500, 0.000], [0.000, 0.000, 0.000], [0.500, 0.500, 0.500]], "dos_at_fermi_per_ev_cell": 3.84, "spacegroup": "No. 123", "m_tot_mub_per_cell": 0.00, "ef_kj_per_mol_fu": -12}